Record 1
CuP4 | PBE-GGA | relaxed

## Properties
* magnetic moment: 0.00 μB/f.u.
* ρ: 3.5 g/cm³
* symmetry: No. 221
* V: 17.685 Å³/atom
* N(E_F): 4.29 states/eV/f.u.
* total DFT energy (no corrections): -20.20 eV for the cell shown
* calculated formation energy: 1.11 eV/atom

abc: 4.4551 4.4551 4.4551
angles: 90.00 90.00 90.00
Positions (direct):
Cu  0.0000  0.0000  0.0000
P  0.0000  0.0000  0.5000
P  0.0000  0.5000  0.0000
P  0.5000  0.0000  0.0000
P  0.5000  0.5000  0.5000

=====

Record 2
TlOsRh2 | PBE-GGA | relaxed

## Properties
* magnetic moment: 0.00 μB/f.u.
* ρ: 15.2 g/cm³
* symmetry: No. 25
* V: 16.375 Å³/atom
* N(E_F): 2.87 states/eV/f.u.
* total DFT energy (no corrections): -26.61 eV for the cell shown
* calculated formation energy: 0.42 eV/atom

abc: 2.8526 3.8337 5.9894
angles: 90.00 90.00 90.00
Positions (direct):
Tl  0.0000  0.0000  0.0000
Os  0.5000  0.5000  0.3062
Rh  0.0000  0.0000  0.4919
Rh  0.5000  0.5000  0.7458

=====

Record 3
LaCe2Mg2Sn2 | PBE-GGA | relaxed

## Properties
* magnetic moment: 2.97 μB/f.u.
* ρ: 6.1 g/cm³
* symmetry: No. 166
* V: 27.339 Å³/atom
* N(E_F): 12.90 states/eV/f.u.
* total DFT energy (no corrections): -30.33 eV for the cell shown
* calculated formation energy: -0.33 eV/atom

abc: 9.9303 9.9303 9.9303
angles: 28.06 28.06 28.06
Positions (direct):
La  0.0000  0.0000  0.0000
Ce  0.1464  0.1464  0.1464
Ce  0.8536  0.8536  0.8536
Mg  0.4170  0.4170  0.4170
Mg  0.5830  0.5830  0.5830
Sn  0.2651  0.2651  0.2651
Sn  0.7349  0.7349  0.7349

=====

Record 4
SmSiN | PBE-GGA | relaxed

## Properties
* magnetic moment: 0.00 μB/f.u.
* ρ: 5.9 g/cm³
* symmetry: No. 62
* V: 18.158 Å³/atom
* N(E_F): 0.81 states/eV/f.u.
* energy relative to the elements, uncorrected: -0.86 eV/atom
* total DFT energy (no corrections): -84.18 eV for the cell shown

abc: 8.6947 3.8810 6.4574
angles: 90.00 90.00 90.00
Positions (direct):
Sm  0.1791  0.2500  0.0124
Sm  0.3209  0.7500  0.5124
Sm  0.6791  0.2500  0.4876
Sm  0.8209  0.7500  0.9876
Si  0.0298  0.2500  0.5979
Si  0.4702  0.7500  0.0979
Si  0.5298  0.2500  0.9021
Si  0.9702  0.7500  0.4021
N  0.0792  0.7500  0.1743
N  0.4208  0.2500  0.6743
N  0.5792  0.7500  0.3257
N  0.9208  0.2500  0.8257

=====

Record 5
HfGa2F2 | PBE-GGA | relaxed

## Properties
* magnetic moment: 0.00 μB/f.u.
* ρ: 7.1 g/cm³
* symmetry: No. 139
* V: 16.745 Å³/atom
* N(E_F): 2.24 states/eV/f.u.
* energy relative to the elements, uncorrected: -0.73 eV/atom
* total DFT energy (no corrections): -23.40 eV for the cell shown

abc: 7.7192 7.7192 7.7192
angles: 154.73 154.73 36.04
Positions (direct):
Hf  0.0000  0.0000  0.0000
Ga  0.2500  0.7500  0.5000
Ga  0.7500  0.2500  0.5000
F  0.4228  0.4228  0.0000
F  0.5772  0.5772  0.0000

=====

Record 6
ZrCo2Ni | PBE-GGA | relaxed

## Properties
* magnetic moment: 2.28 μB/f.u.
* ρ: 8.3 g/cm³
* symmetry: No. 139
* V: 13.387 Å³/atom
* N(E_F): 5.31 states/eV/f.u.
* total DFT energy (no corrections): -29.08 eV for the cell shown
* calculated formation energy: -0.14 eV/atom

abc: 4.6409 4.6409 4.6409
angles: 132.35 132.35 69.68
Positions (direct):
Zr  0.0000  0.0000  0.0000
Co  0.2500  0.7500  0.5000
Co  0.7500  0.2500  0.5000
Ni  0.5000  0.5000  0.0000

=====

Record 7
LaScN2F | PBE-GGA | relaxed

## Properties
* magnetic moment: 0.32 μB/f.u.
* ρ: 4.1 g/cm³
* symmetry: No. 123
* V: 18.481 Å³/atom
* N(E_F): 2.40 states/eV/f.u.
* energy relative to the elements, uncorrected: -0.53 eV/atom
* total DFT energy (no corrections): -32.45 eV for the cell shown

abc: 4.5823 4.5823 4.4007
angles: 90.00 90.00 90.00
Positions (direct):
La  0.0000  0.0000  0.0000
Sc  0.5000  0.5000  0.5000
N  0.0000  0.5000  0.0000
N  0.5000  0.0000  0.0000
F  0.0000  0.0000  0.5000

=====

Record 8
K2Hf2ScSe6 | PBE-GGA | relaxed

## Properties
* magnetic moment: 0.00 μB/f.u.
* ρ: 5.2 g/cm³
* symmetry: No. 12
* V: 27.810 Å³/atom
* N(E_F): 3.52 states/eV/f.u.
* energy relative to the elements, uncorrected: -1.47 eV/atom
* total DFT energy (no corrections): -65.49 eV for the cell shown

abc: 6.6748 6.6748 8.2349
angles: 97.70 97.70 120.06
Positions (direct):
K  0.1652  0.8348  0.0000
K  0.8348  0.1652  0.0000
Hf  0.3326  0.6674  0.5000
Hf  0.6674  0.3326  0.5000
Sc  0.0000  0.0000  0.5000
Se  0.0672  0.4022  0.6968
Se  0.2748  0.2748  0.3037
Se  0.4022  0.0672  0.6968
Se  0.5978  0.9328  0.3032
Se  0.7252  0.7252  0.6963
Se  0.9328  0.5978  0.3032

=====

Record 9
Tb3PmSc3 | PBE-GGA | relaxed

## Properties
* magnetic moment: 0.00 μB/f.u.
* ρ: 6.2 g/cm³
* symmetry: No. 176
* V: 29.171 Å³/atom
* N(E_F): 14.05 states/eV/f.u.
* total DFT energy (no corrections): -74.76 eV for the cell shown
* calculated formation energy: 0.04 eV/atom

abc: 9.2716 9.2716 5.4858
angles: 90.00 90.00 120.00
Positions (direct):
Tb  0.0491  0.2445  0.2500
Tb  0.1955  0.9509  0.2500
Tb  0.2445  0.1955  0.7500
Tb  0.7555  0.8045  0.2500
Tb  0.8045  0.0491  0.7500
Tb  0.9509  0.7555  0.7500
Pm  0.3333  0.6667  0.2500
Pm  0.6667  0.3333  0.7500
Sc  0.0967  0.4821  0.7500
Sc  0.3854  0.9033  0.7500
Sc  0.4821  0.3854  0.2500
Sc  0.5179  0.6146  0.7500
Sc  0.6146  0.0967  0.2500
Sc  0.9033  0.5179  0.2500

=====

Record 10
Pu4AgRh3 | PBE-GGA | relaxed

## Properties
* magnetic moment: 20.88 μB/f.u.
* ρ: 13.7 g/cm³
* symmetry: No. 166
* V: 21.068 Å³/atom
* N(E_F): 30.74 states/eV/f.u.
* total DFT energy (no corrections): -84.51 eV for the cell shown
* calculated formation energy: -0.28 eV/atom

abc: 8.4585 8.4585 8.4585
angles: 33.99 33.99 33.99
Positions (direct):
Pu  0.1188  0.1188  0.1188
Pu  0.3691  0.3691  0.3691
Pu  0.6309  0.6309  0.6309
Pu  0.8812  0.8812  0.8812
Ag  0.5000  0.5000  0.5000
Rh  0.0000  0.0000  0.0000
Rh  0.2464  0.2464  0.2464
Rh  0.7536  0.7536  0.7536

=====

Record 11
Zn12CdPd6 | PBE-GGA | relaxed

## Properties
* magnetic moment: 0.00 μB/f.u.
* ρ: 8.6 g/cm³
* symmetry: No. 148
* V: 15.632 Å³/atom
* N(E_F): 6.37 states/eV/f.u.
* total DFT energy (no corrections): -52.66 eV for the cell shown
* calculated formation energy: -0.28 eV/atom

abc: 7.1171 7.1171 7.1171
angles: 107.39 107.39 107.39
Positions (direct):
Zn  0.1406  0.2870  0.8311
Zn  0.1689  0.8594  0.7130
Zn  0.1936  0.4760  0.5795
Zn  0.2870  0.8311  0.1406
Zn  0.4205  0.8064  0.5240
Zn  0.4760  0.5795  0.1936
Zn  0.5240  0.4205  0.8064
Zn  0.5795  0.1936  0.4760
Zn  0.7130  0.1689  0.8594
Zn  0.8064  0.5240  0.4205
Zn  0.8311  0.1406  0.2870
Zn  0.8594  0.7130  0.1689
Cd  0.0000  0.0000  0.0000
Pd  0.0788  0.4652  0.1931
Pd  0.1931  0.0788  0.4652
Pd  0.4652  0.1932  0.0788
Pd  0.5348  0.8068  0.9212
Pd  0.8068  0.9212  0.5348
Pd  0.9212  0.5348  0.8068

=====

Record 12
Ho2Te2Cl | PBE-GGA | relaxed

## Properties
* magnetic moment: 0.00 μB/f.u.
* ρ: 6.7 g/cm³
* symmetry: No. 12
* V: 30.936 Å³/atom
* N(E_F): 2.09 states/eV/f.u.
* energy relative to the elements, uncorrected: -1.55 eV/atom
* total DFT energy (no corrections): -50.12 eV for the cell shown

abc: 7.3677 7.3677 8.3534
angles: 112.19 112.19 48.56
Positions (direct):
Ho  0.0060  0.0060  0.2468
Ho  0.3355  0.3355  0.9177
Ho  0.6646  0.6646  0.0823
Ho  0.9940  0.9940  0.7532
Te  0.1865  0.1865  0.1187
Te  0.4794  0.4794  0.7170
Te  0.5206  0.5206  0.2830
Te  0.8135  0.8135  0.8813
Cl  0.1437  0.1437  0.6065
Cl  0.8563  0.8563  0.3935

=====

ρ of number 12 (Ho2Te2Cl)? 6.7 g/cm³

=====

ρ of number 7 (LaScN2F)? 4.1 g/cm³

=====

Among the records above, which one has the highest N(E_F)? Pu4AgRh3

=====

Which value of V does entry 7 give? 18.481 Å³/atom